Run 1
# NdSmZnAu

Crystalline NdSmZnAu at its relaxed geometry (PBE, the Alexandria database).

Values from the calculation:
ρ, g cm⁻³: 9.23
DOS(E_F), states/eV per cell: 11.43

```
data_NdSmZnAu
_cell_length_a 7.373
_cell_length_b 7.373
_cell_length_c 7.373
_cell_angle_alpha 90.00
_cell_angle_beta 90.00
_cell_angle_gamma 90.00
_space_group_name_H-M_alt 'F -4 3 m'
_space_group_IT_number 216
_space_group_name_Hall 'F -4 2 3'
loop_
_atom_site_label
_atom_site_fract_x
_atom_site_fract_y
_atom_site_fract_z
Nd1 0.000 0.000 0.000
Sm1 0.000 0.000 0.500
Zn1 0.250 0.250 0.750
Au1 0.250 0.250 0.250
```



Run 2
# NdSmZnAu

Crystalline NdSmZnAu at its relaxed geometry (PBE, the Alexandria database).

Values from the calculation:
ρ, g cm⁻³: 9.31
DOS(E_F), states/eV per cell: 3.30

```
data_NdSmZnAu
_cell_length_a 3.713
_cell_length_b 3.713
_cell_length_c 7.210
_cell_angle_alpha 90.00
_cell_angle_beta 90.00
_cell_angle_gamma 90.00
_space_group_name_H-M_alt 'P 4 m m'
_space_group_IT_number 99
_space_group_name_Hall 'P 4 -2'
loop_
_atom_site_label
_atom_site_fract_x
_atom_site_fract_y
_atom_site_fract_z
Nd1 0.000 0.000 0.000
Sm1 0.000 0.000 0.505
Zn1 0.500 0.500 0.748
Au1 0.500 0.500 0.262
```



Verdict on stability: run 2 comes out on top.



Run 1
# NdSn3Au3

Crystalline NdSn3Au3 at its relaxed geometry (PBE, the Alexandria database).

Values from the calculation:
ρ, g cm⁻³: 9.70
DOS(E_F), states/eV per cell: 21.53

```
data_NdSn3Au3
_cell_length_a 8.4652
_cell_length_b 8.4652
_cell_length_c 18.0700
_cell_angle_alpha 90.00
_cell_angle_beta 90.00
_cell_angle_gamma 120.00
_space_group_name_H-M_alt 'R -3'
_space_group_IT_number 148
_space_group_name_Hall '-R 3'
loop_
_atom_site_label
_atom_site_fract_x
_atom_site_fract_y
_atom_site_fract_z
Nd1 0.0000 0.0000 0.1665
Sn1 0.0014 0.6877 0.5925
Au1 0.0020 0.6565 0.4178
```



Run 2
# NdSn3Au3

Crystalline NdSn3Au3 at its relaxed geometry (PBE, the Alexandria database).

Values from the calculation:
ρ, g cm⁻³: 8.56
DOS(E_F), states/eV per cell: 6.43

```
data_NdSn3Au3
_cell_length_a 7.509
_cell_length_b 7.509
_cell_length_c 7.509
_cell_angle_alpha 90.00
_cell_angle_beta 90.00
_cell_angle_gamma 90.00
_space_group_name_H-M_alt 'P m -3 n'
_space_group_IT_number 223
_space_group_name_Hall '-P 4n 2 3'
loop_
_atom_site_label
_atom_site_fract_x
_atom_site_fract_y
_atom_site_fract_z
Nd1 0.000 0.000 0.000
Sn1 0.000 0.250 0.500
Au1 0.000 0.500 0.250
```



Verdict on stability: run 1 comes out on top.